Density functional theory data (PBE) for crystalline Na3Ac2UTe6 at its relaxed geometry.

Structure (POSCAR):
```
Na3Ac2UTe6
1.0
-1.097 1.811 -4.170
-7.806 -5.075 -0.150
-2.461 7.668 6.601
Na Ac Te U
3 2 6 1
Direct
0.832 0.166 0.664
0.500 0.500 0.000
0.168 0.834 0.336
0.835 0.670 0.670
0.165 0.330 0.330
0.998 0.231 0.996
0.334 0.415 0.668
0.661 0.076 0.322
0.339 0.924 0.678
0.002 0.769 0.004
0.666 0.585 0.332
0.500 0.000 0.000
```

The total DFT energy (no corrections) comes out at -4.69 eV/atom. Its density of states at the Fermi level is 8.5 states/eV/cell. The symmetry is C2/m. As for the formation energy without anion corrections: -1.167 eV/atom. The calculation puts the total magnetization at 3.0 μB per formula unit.